No. 1
First-principles (PBE) data for crystalline SrY3Ru at its relaxed geometry, as listed in the Alexandria database.

Energy (eV for the cell shown): -121.32
ΔH_f (0 K) (eV per atom): 0.004

a = 14.9113 Å, b = 9.5519 Å, c = 9.5519 Å
α = 103.44°, β = 133.81°, γ = 46.19°
Element x y z (fractional)
Ru 0.3829 0.8266 0.8518
Ru 0.1171 0.3518 0.3266
Ru 0.8829 0.6482 0.6734
Ru 0.6171 0.1734 0.1482
Y 0.3964 0.4988 0.7560
Y 0.1114 0.9477 0.7514
Y 0.8964 0.7440 0.0012
Y 0.4553 0.0705 0.7977
Y 0.5447 0.9295 0.2023
Y 0.0447 0.2977 0.5705
Y 0.1036 0.2560 0.9988
Y 0.9553 0.7023 0.4295
Y 0.6036 0.5012 0.2440
Y 0.3886 0.2514 0.4477
Y 0.8886 0.0523 0.2486
Y 0.6114 0.7486 0.5523
Sr 0.2500 0.5085 0.0085
Sr 0.7500 0.1309 0.6309
Sr 0.7500 0.4915 0.9915
Sr 0.2500 0.8691 0.3691

No. 2
First-principles (PBE) data for crystalline ScCdAu2 at its relaxed geometry, as listed in the Alexandria database.

Energy (eV for the cell shown): -15.72
ΔH_f (0 K) (eV per atom): -0.481

a = 5.1464 Å, b = 5.1464 Å, c = 4.6386 Å
α = 73.29°, β = 73.29°, γ = 42.37°
Element x y z (fractional)
Cd 0.4958 0.4958 0.5261
Sc 0.2574 0.2574 0.2190
Au 0.9968 0.9968 0.0230
Au 0.7500 0.7500 0.7319

No. 3
First-principles (PBE) data for crystalline MgBeAgPd at its relaxed geometry, as listed in the Alexandria database.

Energy (eV for the cell shown): -14.33
ΔH_f (0 K) (eV per atom): -0.242

a = 4.3527 Å, b = 4.3527 Å, c = 4.3527 Å
α = 60.00°, β = 60.00°, γ = 60.00°
Element x y z (fractional)
Ag 0.7500 0.7500 0.7500
Pd 0.2500 0.2500 0.2500
Be 0.0000 0.0000 0.0000
Mg 0.5000 0.5000 0.5000

No. 4
First-principles (PBE) data for crystalline LiNp2U3S6 at its relaxed geometry, as listed in the Alexandria database.

Energy (eV for the cell shown): -102.72
Energy relative to the elements, uncorrected (kJ per mole of atoms): -131.1

a = 3.8016 Å, b = 7.8317 Å, c = 8.7047 Å
α = 105.09°, β = 102.61°, γ = 90.00°
Each line ends with the local moment (μB).
Element x y z (fractional)
S 0.9991 0.2405 0.9982  -0.02
S 0.6617 0.0790 0.3234  0.00
S 0.0009 0.7595 0.0018  -0.02
S 0.3337 0.4195 0.6674  0.02
S 0.3383 0.9210 0.6766  0.00
S 0.6663 0.5805 0.3326  0.02
Np 0.1670 0.3328 0.3340  -3.74
Np 0.8330 0.6672 0.6660  -3.74
Li 0.5000 0.0000 0.0000  0.00
U 0.5000 0.5000 0.0000  2.05
U 0.1671 0.8317 0.3343  1.95
U 0.8329 0.1683 0.6657  1.95

Question: What is the energy in the fourth record?
Answer: -102.72 eV for the cell shown